Run a
## NaZrAgSe3 (GGA-PBE)

Data for a geometry-optimized NaZrAgSe3 structure.

Calculated values
Space-group type: No. 62
Size of the total moment in μB/atom: 0.000
Crystal system: orthorhombic

Lattice parameters (Å, degrees): 7.7291 4.0840 17.2373 90.00 90.00 90.00
With the nearest neighbours (Å) after each atom.
Element x y z (fractional)
Na 0.1128 0.2500 0.1912  6 Se 3.10-3.21, 4 Ag 3.31-3.43
Na 0.3872 0.7500 0.6912  6 Se 3.10-3.21, 4 Ag 3.31-3.43
Na 0.6128 0.2500 0.3088  6 Se 3.10-3.21, 4 Ag 3.31-3.43
Na 0.8872 0.7500 0.8088  6 Se 3.10-3.21, 4 Ag 3.31-3.43
Zr 0.2411 0.2500 0.9554  7 Se 2.64-2.89
Zr 0.2589 0.7500 0.4554  7 Se 2.64-2.89
Zr 0.7411 0.2500 0.5446  7 Se 2.64-2.89
Zr 0.7589 0.7500 0.0446  7 Se 2.64-2.89
Ag 0.0333 0.2500 0.6726  4 Se 2.57-2.69
Ag 0.4667 0.7500 0.1726  4 Se 2.57-2.69
Ag 0.5333 0.2500 0.8274  4 Se 2.57-2.69
Ag 0.9667 0.7500 0.3274  4 Se 2.57-2.69
Se 0.0077 0.2500 0.4270  2 Ag 2.69, 3 Zr 2.86-2.89
Se 0.1282 0.7500 0.0520  3 Zr 2.78-2.86
Se 0.1890 0.2500 0.8041  2 Ag 2.57-2.69, 1 Zr 2.64
Se 0.3110 0.7500 0.3041  2 Ag 2.57-2.69, 1 Zr 2.64
Se 0.3718 0.2500 0.5520  3 Zr 2.78-2.86
Se 0.4923 0.7500 0.9270  2 Ag 2.69, 3 Zr 2.86-2.89
Se 0.5077 0.2500 0.0730  2 Ag 2.69, 3 Zr 2.86-2.89
Se 0.6282 0.7500 0.4480  3 Zr 2.78-2.86
Se 0.6890 0.2500 0.6959  2 Ag 2.57-2.69, 1 Zr 2.64
Se 0.8110 0.7500 0.1959  2 Ag 2.57-2.69, 1 Zr 2.64
Se 0.8718 0.2500 0.9480  3 Zr 2.78-2.86
Se 0.9923 0.7500 0.5730  2 Ag 2.69, 3 Zr 2.86-2.89

---

Run b
## NaZrAgSe3 (GGA-PBE)

Data for a geometry-optimized NaZrAgSe3 structure.

Calculated values
Space-group type: No. 62
Size of the total moment in μB/atom: 0.001
Crystal system: orthorhombic

Lattice parameters (Å, degrees): 12.2891 3.9324 11.9008 90.00 90.00 90.00
With the nearest neighbours (Å) after each atom.
Element x y z (fractional)
Na 0.1480 0.2500 0.0105  5 Se 2.89-3.13
Na 0.3520 0.7500 0.5105  5 Se 2.89-3.13
Na 0.6480 0.2500 0.4895  5 Se 2.89-3.13
Na 0.8520 0.7500 0.9895  5 Se 2.89-3.13
Zr 0.0544 0.2500 0.3328  5 Se 2.55-2.79
Zr 0.4456 0.7500 0.8328  5 Se 2.55-2.79
Zr 0.5544 0.2500 0.1672  5 Se 2.55-2.79
Zr 0.9456 0.7500 0.6672  5 Se 2.55-2.79
Ag 0.2486 0.2500 0.7061  4 Se 2.63-2.69
Ag 0.2514 0.7500 0.2061  4 Se 2.63-2.69
Ag 0.7486 0.2500 0.7939  4 Se 2.63-2.69
Ag 0.7514 0.7500 0.2939  4 Se 2.63-2.69
Se 0.0396 0.7500 0.1677  1 Ag 2.64, 2 Zr 2.79
Se 0.0763 0.2500 0.5754  1 Ag 2.63, 3 Zr 2.76-2.90
Se 0.2401 0.7500 0.8604  1 Zr 2.55, 2 Ag 2.69
Se 0.2599 0.2500 0.3604  1 Zr 2.55, 2 Ag 2.69
Se 0.4237 0.7500 0.0754  1 Ag 2.63, 3 Zr 2.76-2.90
Se 0.4604 0.2500 0.6677  1 Ag 2.64, 2 Zr 2.79
Se 0.5396 0.7500 0.3323  1 Ag 2.64, 2 Zr 2.79
Se 0.5763 0.2500 0.9246  1 Ag 2.63, 3 Zr 2.76-2.90
Se 0.7401 0.7500 0.6396  1 Zr 2.55, 2 Ag 2.69
Se 0.7599 0.2500 0.1396  1 Zr 2.55, 2 Ag 2.69
Se 0.9237 0.7500 0.4246  1 Ag 2.63, 3 Zr 2.76-2.90
Se 0.9604 0.2500 0.8323  1 Ag 2.64, 2 Zr 2.79

---

The relative energies come out as run a 0.018; run b 0.000, with values in eV/atom.